Entry 1:
The following is a DFT calculation (SCAN) of a crystal of ZnCo2Mo relaxed with PBEsol.

Lattice parameters (Å, degrees): 2.6112 2.6112 25.2467 90.00 90.00 120.00
Space group R3m (No. 160, hexagonal axes)
Asymmetric unit:
Zn 0.0000 0.0000 0.0000 x3
Co 0.0000 0.0000 0.2522 x3
Co 0.0000 0.0000 0.5113 x3
Mo 0.0000 0.0000 0.7607 x3

Properties
The calculation puts the spin magnetization at 3.3 μB/f.u. As for the crystal system: trigonal. For the formation energy, the calculation gives 0.210 eV per atom.

Entry 2:
The following is a DFT calculation (SCAN) of a crystal of LiMnSi4O10 relaxed with PBEsol.

Lattice parameters (Å, degrees): 7.218 7.218 14.802 90.00 90.00 90.00
Space group P4/ncc (No. 130, origin choice 2)
Asymmetric unit:
Li 0.250 0.750 0.000 x4
Mn 0.250 0.250 0.074 x4
Si 0.003 0.576 0.144 x16
O 0.005 0.703 0.621 x16
O 0.008 0.162 0.079 x16
O 0.044 0.544 0.250 x8

Properties
As for the uncorrected formation energy: -44.8 eV/f.u. The calculation puts the spin magnetization at 4.0 μB/f.u. As for the crystal system: tetragonal.

Entry 3:
The following is a DFT calculation (SCAN) of a crystal of ZrBeSi relaxed with PBEsol.

Lattice parameters (Å, degrees): 3.7154 3.7154 7.1441 90.00 90.00 120.00
Space group P6_3/mmc (No. 194)
Asymmetric unit:
Zr 0.0000 0.0000 0.0000 x2
Be 0.3333 0.6667 0.2500 x2
Si 0.3333 0.6667 0.7500 x2

Properties
As for the uncorrected formation energy: -2.4 eV/f.u. The calculation puts the spin magnetization at 0.0 μB/f.u. The relative energy among the computed polymorphs comes out at 0 kJ/mol of formula units. As for the crystal system: hexagonal.

Entry 4:
The following is a DFT calculation (SCAN) of a crystal of Co2Pt relaxed with PBEsol.

Lattice parameters (Å, degrees): 9.234 2.630 6.253 90.00 107.47 90.00
Space group C2/m (No. 12)
Asymmetric unit:
Co 0.034 0.000 0.269 x4
Co 0.140 0.500 0.025 x4
Pt 0.177 0.500 0.634 x4

Properties
The calculation puts the spin magnetization at 4.2 μB/f.u. As for the crystal system: monoclinic. For the formation energy, the calculation gives -0.090 eV per atom.

Entry 5:
The following is a DFT calculation (SCAN) of a crystal of Re3SiSb relaxed with PBEsol.

Lattice parameters (Å, degrees): 4.442 4.442 4.442 90.00 90.00 90.00
Space group Pm-3m (No. 221)
Asymmetric unit:
Re 0.000 0.000 0.500 x3
Si 0.000 0.000 0.000 x1
Sb 0.500 0.500 0.500 x1

Properties
As for the uncorrected formation energy: 6.8 eV/f.u. The calculation puts the spin magnetization at 2.3 μB/f.u. As for the crystal system: cubic.

Entry 6:
The following is a DFT calculation (SCAN) of a crystal of NdIn5Rh relaxed with PBEsol.

Lattice parameters (Å, degrees): 4.611 4.611 7.470 90.00 90.00 90.00
Space group P4/mmm (No. 123)
Asymmetric unit:
Nd 0.000 0.000 0.000 x1
In 0.000 0.500 0.304 x4
In 0.500 0.500 0.000 x1
Rh 0.000 0.000 0.500 x1

Properties
The calculation puts the spin magnetization at 0.0 μB/f.u. As for the crystal system: tetragonal. For the formation energy, the calculation gives -0.567 eV per atom.

Entry 7:
The following is a DFT calculation (SCAN) of a crystal of IrOsSe relaxed with PBEsol.

Lattice parameters (Å, degrees): 2.836 2.836 11.341 90.00 90.00 90.00
Space group I4mm (No. 107)
Asymmetric unit:
Ir 0.000 0.000 0.000 x2
Os 0.000 0.000 0.653 x2
Se 0.000 0.000 0.306 x2

Properties
As for the uncorrected formation energy: 1.9 eV/f.u. The calculation puts the spin magnetization at 0.0 μB/f.u. The relative energy among the computed polymorphs comes out at 0 kJ/mol of formula units. As for the crystal system: tetragonal.

Entry 8:
The following is a DFT calculation (SCAN) of a crystal of KCdAs2Br relaxed with PBEsol.

Lattice parameters (Å, degrees): 5.100 5.100 6.062 90.00 90.00 90.00
Space group P4/mmm (No. 123)
Asymmetric unit:
K 0.000 0.000 0.000 x1
Cd 0.500 0.500 0.500 x1
As 0.000 0.500 0.500 x2
Br 0.500 0.500 0.000 x1

Properties
As for the uncorrected formation energy: -0.3 eV/f.u. The calculation puts the spin magnetization at 1.7 μB/f.u. As for the crystal system: tetragonal.

Entry 9:
The following is a DFT calculation (SCAN) of a crystal of Li2YBr relaxed with PBEsol.

Lattice parameters (Å, degrees): 3.515 5.103 10.253 90.00 90.00 90.00
Space group Imm2 (No. 44)
Asymmetric unit:
Li 0.000 0.000 0.000 x2
Li 0.000 0.500 0.215 x2
Y 0.000 0.500 0.789 x2
Br 0.000 0.000 0.531 x2

Properties
As for the uncorrected formation energy: -1.5 eV/f.u. The calculation puts the spin magnetization at 0.0 μB/f.u. The relative energy among the computed polymorphs comes out at 4 kJ/mol of formula units. As for the crystal system: orthorhombic.

Entry 10:
The following is a DFT calculation (SCAN) of a crystal of Mg2TlSb relaxed with PBEsol.

Lattice parameters (Å, degrees): 3.5144 3.5144 26.8425 90.00 90.00 120.00
Space group R-3m (No. 166, hexagonal axes)
Asymmetric unit:
Mg 0.0000 0.0000 0.2493 x6
Tl 0.0000 0.0000 0.5000 x3
Sb 0.0000 0.0000 0.0000 x3

Properties
As for the uncorrected formation energy: -0.5 eV/f.u. The calculation puts the spin magnetization at 0.0 μB/f.u. The relative energy among the computed polymorphs comes out at 9 kJ/mol of formula units. As for the crystal system: trigonal.

Entry 11:
The following is a DFT calculation (SCAN) of a crystal of NiSb2Pt relaxed with PBEsol.

Lattice parameters (Å, degrees): 6.691 3.724 6.413 90.00 109.07 90.00
Space group C2/m (No. 12)
Asymmetric unit:
Ni 0.000 0.000 0.000 x2
Sb 0.244 0.500 0.232 x4
Pt 0.000 0.500 0.500 x2

Properties
As for the uncorrected formation energy: -0.7 eV/f.u. The calculation puts the spin magnetization at 0.0 μB/f.u. The relative energy among the computed polymorphs comes out at 0 kJ/mol of formula units. As for the crystal system: monoclinic.

Entry 12:
The following is a DFT calculation (SCAN) of a crystal of Cd3Au relaxed with PBEsol.

Lattice parameters (Å, degrees): 9.578 3.452 4.858 90.00 103.76 90.00
Space group C2/m (No. 12)
Asymmetric unit:
Cd 0.000 0.000 0.000 x2
Cd 0.244 0.000 0.740 x4
Au 0.000 0.500 0.500 x2

Properties
The calculation puts the spin magnetization at 0.0 μB/f.u. As for the crystal system: monoclinic. For the formation energy, the calculation gives -0.114 eV per atom.